Entry from Alexandria: a relaxed structure of Ta2ZnBr (PBE).

The space group is P4/mmm (No. 123) and the conventional cell measures 3.074, 3.074 and 7.236 Å, with angles of 90.00, 90.00 and 90.00 degrees. The distinct sites, in fractional coordinates, are Ta at (0.000, 0.000, 0.236), Zn at (0.500, 0.500, 0.000) and Br at (0.500, 0.500, 0.500).

As for the polymorph energy (0 for the lowest one): 0.300 eV/atom. For the final energy, the calculation gives -6.197 eV per atom. As for the formation energy without anion corrections: 0.466 eV/atom. The density of states at the Fermi level is 0.499 states/eV per atom. As for the volume: 17.09 Å³ per atom.